[1]
The following is a DFT calculation (PBE) of a relaxed CaHoSn2 crystal.

Results
Formation energy from the elements   -0.58 eV per atom
SG   No. 123
Calculated total energy   -4.224 eV/atom
Total moment   0.00 μB per formula unit
Mass density   6.8 Mg/m³

a b c (Å): 4.3864 4.9703 4.9703
angles (deg): 90.00 90.00 90.00
Last column: nearest neighbours and their distance in Å.
Fractional coordinates of all 4 atoms:
Ca (0.5000, 0.0000, 0.0000)  8 Sn 3.31, 4 Ho 3.51
Ho (0.5000, 0.5000, 0.5000)  8 Sn 3.31, 4 Ca 3.51
Sn (0.0000, 0.0000, 0.5000)  4 Ho 3.31, 4 Ca 3.31, 4 Sn 3.51
Sn (0.0000, 0.5000, 0.0000)  4 Ho 3.31, 4 Ca 3.31, 4 Sn 3.51

[2]
The following is a DFT calculation (PBE) of a relaxed CaHo4Sn4 crystal.

Results
Formation energy from the elements   -0.47 eV per atom
SG   No. 86
Calculated total energy   -4.505 eV/atom
Total moment   0.00 μB per formula unit
Mass density   6.4 Mg/m³

a b c (Å): 6.1106 9.9671 9.9671
angles (deg): 90.00 90.00 90.00
Last column: nearest neighbours and their distance in Å.
Fractional coordinates of all 18 atoms:
Ca (0.0000, 0.0000, 0.0000)  4 Sn 3.36
Ca (0.5000, 0.5000, 0.5000)  4 Sn 3.36
Ho (0.3912, 0.3577, 0.8894)  5 Sn 3.05-3.22
Ho (0.8912, 0.6106, 0.8577)  5 Sn 3.05-3.22
Ho (0.3912, 0.6423, 0.1106)  5 Sn 3.05-3.22
Ho (0.1088, 0.1423, 0.6106)  5 Sn 3.05-3.22
Ho (0.6088, 0.8894, 0.6423)  5 Sn 3.05-3.22
Ho (0.1088, 0.8577, 0.3894)  5 Sn 3.05-3.22
Ho (0.8912, 0.3894, 0.1423)  5 Sn 3.05-3.22
Ho (0.6088, 0.1106, 0.3577)  5 Sn 3.05-3.22
Sn (0.5947, 0.7965, 0.3511)  1 Sn 2.92, 5 Ho 3.05-3.22
Sn (0.5947, 0.2035, 0.6489)  1 Sn 2.92, 5 Ho 3.05-3.22
Sn (0.0947, 0.8511, 0.7035)  1 Sn 2.92, 5 Ho 3.05-3.22
Sn (0.9053, 0.2965, 0.8511)  1 Sn 2.92, 5 Ho 3.05-3.22
Sn (0.9053, 0.7035, 0.1489)  1 Sn 2.92, 5 Ho 3.05-3.22
Sn (0.4053, 0.3511, 0.2035)  1 Sn 2.92, 5 Ho 3.05-3.22
Sn (0.4053, 0.6489, 0.7965)  1 Sn 2.92, 5 Ho 3.05-3.22
Sn (0.0947, 0.1489, 0.2965)  1 Sn 2.92, 5 Ho 3.05-3.22

[3]
The following is a DFT calculation (PBE) of a relaxed CaHoSn2 crystal.

Results
Formation energy from the elements   -0.62 eV per atom
SG   No. 123
Calculated total energy   -4.271 eV/atom
Total moment   0.00 μB per formula unit
Mass density   6.8 Mg/m³

a b c (Å): 3.4757 3.4757 8.9651
angles (deg): 90.00 90.00 90.00
Last column: nearest neighbours and their distance in Å.
Fractional coordinates of all 4 atoms:
Ca (0.5000, 0.5000, 0.5000)  8 Sn 3.37, 4 Ca 3.48
Ho (0.5000, 0.5000, 0.0000)  8 Sn 3.28, 4 Ho 3.48
Sn (0.0000, 0.0000, 0.7572)  4 Ho 3.28, 4 Ca 3.37, 4 Sn 3.48
Sn (0.0000, 0.0000, 0.2428)  4 Ho 3.28, 4 Ca 3.37, 4 Sn 3.48

[4]
The following is a DFT calculation (PBE) of a relaxed CaHoTlSn crystal.

Results
Formation energy from the elements   -0.46 eV per atom
SG   No. 216
Calculated total energy   -3.697 eV/atom
Total moment   0.00 μB per formula unit
Mass density   7.9 Mg/m³

a b c (Å): 5.3972 5.3972 5.3972
angles (deg): 60.00 60.00 60.00
Last column: nearest neighbours and their distance in Å.
Fractional coordinates of all 4 atoms:
Tl (0.5000, 0.5000, 0.5000)  4 Ho 3.31, 4 Ca 3.31
Ca (0.2500, 0.2500, 0.2500)  4 Tl 3.31, 4 Sn 3.31
Ho (0.7500, 0.7500, 0.7500)  4 Tl 3.31, 4 Sn 3.31
Sn (0.0000, 0.0000, 0.0000)  4 Ho 3.31, 4 Ca 3.31

[5]
The following is a DFT calculation (PBE) of a relaxed CaHoZnSn crystal.

Results
Formation energy from the elements   -0.46 eV per atom
SG   No. 216
Calculated total energy   -3.421 eV/atom
Total moment   0.00 μB per formula unit
Mass density   6.4 Mg/m³

a b c (Å): 5.2398 5.2398 5.2398
angles (deg): 60.00 60.00 60.00
Last column: nearest neighbours and their distance in Å.
Fractional coordinates of all 4 atoms:
Zn (0.0000, 0.0000, 0.0000)  4 Ho 3.21, 4 Ca 3.21
Ca (0.2500, 0.2500, 0.2500)  4 Sn 3.21, 4 Zn 3.21
Ho (0.7500, 0.7500, 0.7500)  4 Zn 3.21, 4 Sn 3.21
Sn (0.5000, 0.5000, 0.5000)  4 Ho 3.21, 4 Ca 3.21

[6]
The following is a DFT calculation (PBE) of a relaxed SrCaHo4 crystal.

Results
Formation energy from the elements   0.21 eV per atom
SG   No. 216
Calculated total energy   -3.456 eV/atom
Total moment   0.00 μB per formula unit
Mass density   5.9 Mg/m³

a b c (Å): 6.8017 6.8017 6.8017
angles (deg): 60.00 60.00 60.00
Last column: nearest neighbours and their distance in Å.
Fractional coordinates of all 6 atoms:
Sr (0.2500, 0.2500, 0.2500)  12 Ho 3.99, 4 Ca 4.17
Ca (0.0000, 0.0000, 0.0000)  12 Ho 3.99, 4 Sr 4.17
Ho (0.6259, 0.6259, 0.1222)  6 Ho 3.38-3.43
Ho (0.6259, 0.1222, 0.6259)  6 Ho 3.38-3.43
Ho (0.6259, 0.6259, 0.6259)  6 Ho 3.38-3.43
Ho (0.1222, 0.6259, 0.6259)  6 Ho 3.38-3.43

[7]
The following is a DFT calculation (PBE) of a relaxed SrCaHo crystal.

Results
Formation energy from the elements   0.17 eV per atom
SG   No. 156
Calculated total energy   -2.583 eV/atom
Total moment   0.77 μB per formula unit
Mass density   4.0 Mg/m³

a b c (Å): 3.8313 3.8313 9.5546
angles (deg): 90.00 90.00 120.00
Last column: nearest neighbours and their distance in Å.
Fractional coordinates of all 3 atoms:
Sr (0.0000, 0.0000, 0.0095)  6 Sr 3.83, 3 Ho 3.86, 3 Ca 4.09
Ca (0.3333, 0.6667, 0.6497)  3 Ho 3.69, 6 Ca 3.83, 3 Sr 4.09
Ho (0.6667, 0.3333, 0.3408)  3 Ca 3.69, 6 Ho 3.83, 3 Sr 3.86

[8]
The following is a DFT calculation (PBE) of a relaxed SrCaHo crystal.

Results
Formation energy from the elements   0.17 eV per atom
SG   No. 107
Calculated total energy   -2.584 eV/atom
Total moment   1.00 μB per formula unit
Mass density   3.9 Mg/m³

a b c (Å): 3.8464 3.8464 8.7493
angles (deg): 102.70 102.70 90.00
Last column: nearest neighbours and their distance in Å.
Fractional coordinates of all 3 atoms:
Sr (0.9928, 0.9928, 0.9857)  4 Sr 3.85, 4 Ho 3.86, 4 Ca 4.12
Ca (0.6790, 0.6790, 0.3580)  4 Ho 3.68, 4 Ca 3.85, 4 Sr 4.12
Ho (0.3282, 0.3282, 0.6563)  4 Ca 3.68, 4 Ho 3.85, 4 Sr 3.86

[9]
The following is a DFT calculation (PBE) of a relaxed SrCa14Ho crystal.

Results
Formation energy from the elements   0.04 eV per atom
SG   No. 38
Calculated total energy   -2.098 eV/atom
Total moment   0.62 μB per formula unit
Mass density   2.0 Mg/m³

a b c (Å): 7.7674 7.7674 12.7981
angles (deg): 90.00 90.00 120.03
Last column: nearest neighbours and their distance in Å.
Fractional coordinates of all 16 atoms:
Sr (0.0407, 0.9593, 0.5000)  10 Ca 3.87-3.93, 2 Ho 3.88
Ca (0.2088, 0.7912, 0.0000)  12 Ca 3.87-3.97
Ca (0.7082, 0.2918, 0.0000)  12 Ca 3.87-3.90
Ca (0.0399, 0.4576, 0.5000)  8 Ca 3.86-3.93, 2 Sr 3.87-3.89, 2 Ho 3.88-3.89
Ca (0.2091, 0.2927, 0.0000)  12 Ca 3.87-3.95
Ca (0.5424, 0.9601, 0.5000)  8 Ca 3.86-3.93, 2 Sr 3.87-3.89, 2 Ho 3.88-3.89
Ca (0.7073, 0.7909, 0.0000)  12 Ca 3.87-3.95
Ca (0.3793, 0.1295, 0.7488)  10 Ca 3.81-3.95, 1 Ho 3.88, 1 Sr 3.91
Ca (0.3793, 0.1295, 0.2512)  10 Ca 3.81-3.95, 1 Ho 3.88, 1 Sr 3.91
Ca (0.8705, 0.6207, 0.7488)  10 Ca 3.81-3.95, 1 Ho 3.88, 1 Sr 3.91
Ca (0.8705, 0.6207, 0.2512)  10 Ca 3.81-3.95, 1 Ho 3.88, 1 Sr 3.91
Ca (0.3771, 0.6229, 0.7449)  1 Ho 3.83, 11 Ca 3.84-3.97
Ca (0.3771, 0.6229, 0.2551)  1 Ho 3.83, 11 Ca 3.84-3.97
Ca (0.8743, 0.1257, 0.7527)  11 Ca 3.86-3.93, 1 Sr 3.93
Ca (0.8743, 0.1257, 0.2473)  11 Ca 3.86-3.93, 1 Sr 3.93
Ho (0.5412, 0.4588, 0.5000)  10 Ca 3.83-3.89, 2 Sr 3.88

[10]
The following is a DFT calculation (PBE) of a relaxed Sr3CaHo3Te8 crystal.

Results
SG   No. 166
Formation energy from raw total energies   -1528 meV per atom
Calculated total energy   -4.589 eV/atom
Total moment   0.00 μB per formula unit
Mass density   5.8 Mg/m³

a b c (Å): 8.9343 8.9323 9.1658
angles (deg): 119.16 90.00 120.01
Last column: nearest neighbours and their distance in Å.
Fractional coordinates of all 15 atoms:
Sr (0.0000, 0.0000, 0.0000)  6 Te 3.30-3.32
Sr (0.0000, 0.5000, 0.0000)  6 Te 3.30-3.32
Sr (0.5000, 0.5000, 0.0000)  6 Te 3.30-3.32
Ca (0.0000, 0.0000, 0.5000)  6 Te 3.20
Ho (0.5000, 0.0000, 0.5000)  6 Te 3.09-3.11
Ho (0.5000, 0.5000, 0.5000)  6 Te 3.09-3.11
Ho (0.0000, 0.5000, 0.5000)  6 Te 3.09-3.11
Te (0.2570, 0.5141, 0.2710)  3 Ho 3.11, 3 Sr 3.30
Te (0.7430, 0.4859, 0.7290)  3 Ho 3.11, 3 Sr 3.30
Te (0.7500, 0.5000, 0.2675)  2 Ho 3.09, 1 Ca 3.20, 2 Sr 3.32
Te (0.2500, 0.5000, 0.7325)  2 Ho 3.09, 1 Ca 3.20, 2 Sr 3.32
Te (0.7501, 0.0175, 0.2676)  2 Ho 3.09, 1 Ca 3.20, 2 Sr 3.32
Te (0.2499, 0.9825, 0.7324)  2 Ho 3.09, 1 Ca 3.20, 2 Sr 3.32
Te (0.2674, 0.0175, 0.2676)  2 Ho 3.09, 1 Ca 3.20, 2 Sr 3.32
Te (0.7326, 0.9825, 0.7324)  2 Ho 3.09, 1 Ca 3.20, 2 Sr 3.32

[11]
The following is a DFT calculation (PBE) of a relaxed CaTb5Ho8 crystal.

Results
Formation energy from the elements   0.24 eV per atom
SG   No. 82
Calculated total energy   -4.172 eV/atom
Total moment   0.00 μB per formula unit
Mass density   7.7 Mg/m³

a b c (Å): 8.4546 8.4546 8.4546
angles (deg): 110.94 106.57 110.94
Last column: nearest neighbours and their distance in Å.
Fractional coordinates of all 14 atoms:
Ca (0.2500, 0.5000, 0.7500)  4 Ho 3.29
Tb (0.0353, 0.3207, 0.1345)  8 Ho 3.34-3.54, 2 Tb 3.56
Tb (0.8655, 0.9008, 0.1862)  8 Ho 3.35-3.54, 2 Tb 3.56
Tb (0.8138, 0.6793, 0.7146)  8 Ho 3.34-3.54, 2 Tb 3.56
Tb (0.5000, 0.0000, 0.5000)  8 Ho 3.10-3.34
Tb (0.2854, 0.0992, 0.9647)  8 Ho 3.34-3.54, 2 Tb 3.56
Ho (0.1618, 0.7402, 0.0837)  4 Tb 3.10-3.44, 1 Ca 3.29
Ho (0.9163, 0.0781, 0.6565)  4 Tb 3.10-3.44, 1 Ca 3.29
Ho (0.7241, 0.2521, 0.3281)  5 Tb 3.34-3.54, 3 Ho 3.54-3.64
Ho (0.6719, 0.3960, 0.9240)  5 Tb 3.34-3.54, 3 Ho 3.54-3.64
Ho (0.5280, 0.6040, 0.2759)  5 Tb 3.34-3.54, 3 Ho 3.54-3.64
Ho (0.5784, 0.9219, 0.8382)  4 Tb 3.10-3.44, 1 Ca 3.29
Ho (0.3435, 0.2598, 0.4216)  4 Tb 3.10-3.44, 1 Ca 3.29
Ho (0.0760, 0.7479, 0.4720)  5 Tb 3.34-3.54, 3 Ho 3.54-3.64